Entry from the Alexandria database: crystalline CdCu2B at its relaxed geometry (PBE-GGA).

E above lowest polymorph ... 0 meV/atom
SG ... No. 141
Density of states at the Fermi level ... 2.4 states/eV per cell
ΔE_f ... 577 meV per atom

POSCAR file:
```
CdCu2B
1.0
-2.277 2.277 6.528
2.277 -2.277 6.528
2.277 2.277 -6.528
Cd Cu B
2 4 2
direct
0.375 0.625 0.750
0.625 0.375 0.250
0.000 0.000 0.000
0.000 0.000 0.500
0.000 0.500 0.000
0.500 0.000 0.500
0.125 0.875 0.250
0.875 0.125 0.750
```

***

Entry from the Alexandria database: crystalline KScCu2 at its relaxed geometry (PBE-GGA).

E above lowest polymorph ... 143 meV/atom
SG ... No. 99
Density of states at the Fermi level ... 0.8 states/eV per cell
ΔE_f ... 227 meV per atom

POSCAR file:
```
KScCu2
1.0
3.303 0.000 0.000
0.000 3.303 0.000
0.000 0.000 8.505
K Sc Cu
1 1 2
direct
0.000 0.000 0.000
0.500 0.500 0.407
0.000 0.000 0.588
0.500 0.500 0.710
```

***

Entry from the Alexandria database: crystalline Ti3GaRe at its relaxed geometry (PBE-GGA).

E above lowest polymorph ... 0 meV/atom
SG ... No. 221
Density of states at the Fermi level ... 4.1 states/eV per cell
ΔE_f ... 600 meV per atom

POSCAR file:
```
Ti3GaRe
1.0
4.750 0.000 0.000
0.000 4.750 0.000
0.000 0.000 4.750
Ti Ga Re
3 1 1
direct
0.000 0.000 0.500
0.000 0.500 0.000
0.500 0.000 0.000
0.500 0.500 0.500
0.000 0.000 0.000
```

***

Entry from the Alexandria database: crystalline SmTlCdPd at its relaxed geometry (PBE-GGA).

SG ... No. 216
Density of states at the Fermi level ... 0.9 states/eV per cell
ΔE_f ... -419 meV per atom

POSCAR file:
```
SmTlCdPd
1.0
0.000 3.573 3.573
3.573 0.000 3.573
3.573 3.573 0.000
Sm Tl Cd Pd
1 1 1 1
direct
0.000 0.000 0.000
0.250 0.250 0.250
0.500 0.500 0.500
0.750 0.750 0.750
```

***

Entry from the Alexandria database: crystalline CoSn2BOs at its relaxed geometry (PBE-GGA).

SG ... No. 123
Density of states at the Fermi level ... 3.9 states/eV per cell
ΔE_f ... 1575 meV per atom

POSCAR file:
```
CoSn2BOs
1.0
4.764 0.000 0.000
0.000 4.764 0.000
0.000 0.000 4.488
Co Sn B Os
1 2 1 1
direct
0.000 0.000 0.000
0.000 0.500 0.000
0.500 0.000 0.000
0.500 0.500 0.500
0.000 0.000 0.500
```

***

Entry from the Alexandria database: crystalline Ac6Ga2Hg at its relaxed geometry (PBE-GGA).

E above lowest polymorph ... 76 meV/atom
SG ... No. 14
Density of states at the Fermi level ... 22.0 states/eV per cell
ΔE_f ... -234 meV per atom

POSCAR file:
```
Ac6Ga2Hg
1.0
7.191 0.000 0.000
0.000 8.898 0.000
-6.344 0.000 10.520
Ac Ga Hg
12 4 2
direct
0.063 0.055 0.227
0.063 0.445 0.727
0.191 0.695 0.072
0.191 0.805 0.572
0.411 0.156 0.062
0.411 0.344 0.562
0.589 0.656 0.438
0.589 0.844 0.938
0.809 0.195 0.428
0.809 0.305 0.928
0.937 0.555 0.273
0.937 0.945 0.773
0.313 0.124 0.743
0.313 0.376 0.243
0.687 0.624 0.757
0.687 0.876 0.257
0.500 0.000 0.500
0.500 0.500 0.000
```

***

Entry from the Alexandria database: crystalline Nd3CdSn2 at its relaxed geometry (PBE-GGA).

SG ... No. 15
Density of states at the Fermi level ... 8.6 states/eV per cell
ΔE_f ... -530 meV per atom

POSCAR file:
```
Nd3CdSn2
1.0
8.451 -3.272 0.000
8.451 3.272 0.000
-1.516 0.000 6.286
Nd Cd Sn
6 2 4
direct
0.152 0.848 0.750
0.216 0.435 0.395
0.435 0.216 0.895
0.565 0.784 0.105
0.784 0.565 0.605
0.848 0.152 0.250
0.360 0.640 0.250
0.640 0.360 0.750
0.051 0.261 0.046
0.261 0.051 0.546
0.739 0.949 0.454
0.949 0.739 0.954
```

***

Entry from the Alexandria database: crystalline K6RbIn6 at its relaxed geometry (PBE-GGA).

SG ... No. 71
Density of states at the Fermi level ... 5.8 states/eV per cell
ΔE_f ... -16 meV per atom

POSCAR file:
```
K6RbIn6
1.0
-3.365 6.078 6.390
3.365 -6.078 6.390
3.365 6.078 -6.390
K Rb In
6 1 6
direct
0.156 0.500 0.656
0.171 0.171 0.000
0.323 0.000 0.323
0.677 0.000 0.677
0.829 0.829 0.000
0.844 0.500 0.344
0.500 0.500 0.000
0.000 0.000 0.500
0.000 0.500 0.000
0.263 0.763 0.500
0.500 0.000 0.000
0.500 0.500 0.500
0.737 0.237 0.500
```